VASP calculation (GGA-PBE) on crystalline Ba2Au3 at its relaxed geometry.

Lattice parameters (Å, degrees): 15.226 15.226 4.828 90.00 90.00 163.45
Positions (direct):
Ba (0.069, 0.931, 0.750)
Ba (0.202, 0.798, 0.250)
Ba (0.798, 0.202, 0.750)
Ba (0.931, 0.069, 0.250)
Au (0.323, 0.677, 0.250)
Au (0.382, 0.618, 0.750)
Au (0.476, 0.524, 0.750)
Au (0.524, 0.476, 0.250)
Au (0.618, 0.382, 0.250)
Au (0.677, 0.323, 0.750)

Summary:
- space-group type = Cmcm
- total magnetization (μB/f.u.) = 0.00
- ΔE_f (eV/f.u.) = -3.6
- volume (Å³/cell) = 318.94

***

VASP calculation (GGA-PBE) on crystalline BaAu13 at its relaxed geometry.

Lattice parameters (Å, degrees): 9.401 9.401 9.401 60.00 60.00 60.00
Positions (direct):
Ba (0.250, 0.250, 0.250)
Ba (0.750, 0.750, 0.750)
Au (0.000, 0.000, 0.000)
Au (0.063, 0.301, 0.699)
Au (0.063, 0.699, 0.937)
Au (0.063, 0.937, 0.301)
Au (0.199, 0.437, 0.801)
Au (0.199, 0.563, 0.437)
Au (0.199, 0.801, 0.563)
Au (0.301, 0.063, 0.937)
Au (0.301, 0.699, 0.063)
Au (0.301, 0.937, 0.699)
Au (0.437, 0.199, 0.563)
Au (0.437, 0.563, 0.801)
Au (0.437, 0.801, 0.199)
Au (0.500, 0.500, 0.500)
Au (0.563, 0.199, 0.801)
Au (0.563, 0.437, 0.199)
Au (0.563, 0.801, 0.437)
Au (0.699, 0.063, 0.301)
Au (0.699, 0.301, 0.937)
Au (0.699, 0.937, 0.063)
Au (0.801, 0.199, 0.437)
Au (0.801, 0.437, 0.563)
Au (0.801, 0.563, 0.199)
Au (0.937, 0.063, 0.699)
Au (0.937, 0.301, 0.063)
Au (0.937, 0.699, 0.301)

Summary:
- space-group type = Fm-3c
- total magnetization (μB/f.u.) = 0.00
- ΔE_f (eV/f.u.) = -2.6
- volume (Å³/cell) = 587.41

***

VASP calculation (GGA-PBE) on crystalline Ba3Au4 at its relaxed geometry.

Lattice parameters (Å, degrees): 4.582 16.415 6.346 90.00 111.06 90.00
Positions (direct):
Ba (0.055, 0.000, 0.110)
Ba (0.328, 0.154, 0.656)
Ba (0.328, 0.846, 0.655)
Ba (0.672, 0.346, 0.345)
Ba (0.672, 0.654, 0.344)
Ba (0.945, 0.500, 0.890)
Au (0.000, 0.250, 0.001)
Au (0.000, 0.750, 0.999)
Au (0.231, 0.500, 0.462)
Au (0.388, 0.648, 0.776)
Au (0.389, 0.352, 0.778)
Au (0.611, 0.852, 0.222)
Au (0.612, 0.148, 0.224)
Au (0.769, 0.000, 0.538)

Summary:
- space-group type = P2_1
- total magnetization (μB/f.u.) = 0.00
- ΔE_f (eV/f.u.) = -4.8
- volume (Å³/cell) = 445.36

***

VASP calculation (GGA-PBE) on crystalline Ba2Au3 at its relaxed geometry.

Lattice parameters (Å, degrees): 8.641 8.641 8.641 53.92 53.92 53.92
Positions (direct):
Ba (0.117, 0.117, 0.117)
Ba (0.383, 0.383, 0.383)
Ba (0.617, 0.617, 0.617)
Ba (0.883, 0.883, 0.883)
Au (0.036, 0.250, 0.464)
Au (0.250, 0.464, 0.036)
Au (0.464, 0.036, 0.250)
Au (0.536, 0.964, 0.750)
Au (0.750, 0.536, 0.964)
Au (0.964, 0.750, 0.536)

Summary:
- space-group type = R-3c
- total magnetization (μB/f.u.) = 0.00
- ΔE_f (eV/f.u.) = -2.6
- volume (Å³/cell) = 391.41

***

VASP calculation (GGA-PBE) on crystalline BaAu4 at its relaxed geometry.

Lattice parameters (Å, degrees): 8.628 8.628 8.628 109.47 109.47 109.47
Positions (direct):
Ba (0.000, 0.000, 0.434)
Ba (0.000, 0.434, 0.000)
Ba (0.434, 0.000, 0.000)
Ba (0.566, 0.566, 0.566)
Au (0.000, 0.000, 0.795)
Au (0.000, 0.355, 0.355)
Au (0.000, 0.645, 0.645)
Au (0.000, 0.795, 0.000)
Au (0.205, 0.205, 0.205)
Au (0.250, 0.500, 0.750)
Au (0.250, 0.750, 0.500)
Au (0.355, 0.000, 0.355)
Au (0.355, 0.355, 0.000)
Au (0.500, 0.250, 0.750)
Au (0.500, 0.750, 0.250)
Au (0.645, 0.000, 0.645)
Au (0.645, 0.645, 0.000)
Au (0.750, 0.250, 0.500)
Au (0.750, 0.500, 0.250)
Au (0.795, 0.000, 0.000)

Summary:
- space-group type = I-43m
- total magnetization (μB/f.u.) = 0.00
- ΔE_f (eV/f.u.) = -2.1
- volume (Å³/cell) = 494.43

***

VASP calculation (GGA-PBE) on crystalline Ba2Au3 at its relaxed geometry.

Lattice parameters (Å, degrees): 8.922 6.503 10.082 60.61 39.43 79.96
Positions (direct):
Ba (0.221, 0.779, 0.382)
Ba (0.632, 0.868, 0.471)
Ba (0.779, 0.221, 0.618)
Ba (0.868, 0.632, 0.029)
Au (0.193, 0.796, 0.055)
Au (0.195, 0.294, 0.057)
Au (0.294, 0.195, 0.454)
Au (0.316, 0.316, 0.684)
Au (0.566, 0.566, 0.934)
Au (0.796, 0.193, 0.956)

Summary:
- space-group type = Fdd2
- total magnetization (μB/f.u.) = 0.00
- ΔE_f (eV/f.u.) = -3.2
- volume (Å³/cell) = 300.77

***

VASP calculation (GGA-PBE) on crystalline BaAu6 at its relaxed geometry.

Lattice parameters (Å, degrees): 7.531 7.531 7.531 90.00 90.00 90.00
Positions (direct):
Ba (0.000, 0.000, 0.000)
Ba (0.500, 0.500, 0.500)
Au (0.000, 0.250, 0.500)
Au (0.000, 0.500, 0.250)
Au (0.000, 0.500, 0.750)
Au (0.000, 0.750, 0.500)
Au (0.250, 0.000, 0.500)
Au (0.250, 0.500, 0.000)
Au (0.500, 0.000, 0.250)
Au (0.500, 0.000, 0.750)
Au (0.500, 0.250, 0.000)
Au (0.500, 0.750, 0.000)
Au (0.750, 0.000, 0.500)
Au (0.750, 0.500, 0.000)

Summary:
- space-group type = Im-3m
- total magnetization (μB/f.u.) = 0.00
- ΔE_f (eV/f.u.) = 0.0
- volume (Å³/cell) = 427.15

***

VASP calculation (GGA-PBE) on crystalline Ba2Au3 at its relaxed geometry.

Lattice parameters (Å, degrees): 4.868 4.868 24.223 90.00 90.00 120.00
Positions (direct):
Ba (0.000, 0.000, 0.086)
Ba (0.000, 0.000, 0.914)
Ba (0.333, 0.667, 0.580)
Ba (0.333, 0.667, 0.753)
Ba (0.667, 0.333, 0.247)
Ba (0.667, 0.333, 0.420)
Au (0.000, 0.000, 0.334)
Au (0.000, 0.000, 0.500)
Au (0.000, 0.000, 0.666)
Au (0.333, 0.667, 0.000)
Au (0.333, 0.667, 0.167)
Au (0.333, 0.667, 0.333)
Au (0.667, 0.333, 0.000)
Au (0.667, 0.333, 0.667)
Au (0.667, 0.333, 0.833)

Summary:
- space-group type = R-3m
- total magnetization (μB/f.u.) = 0.00
- ΔE_f (eV/f.u.) = -3.6
- volume (Å³/cell) = 497.11

***

VASP calculation (GGA-PBE) on crystalline BaAu5 at its relaxed geometry.

Lattice parameters (Å, degrees): 5.696 10.878 4.798 90.00 90.00 90.00
Positions (direct):
Ba (0.000, 0.000, 0.000)
Ba (0.500, 0.500, 0.000)
Au (0.000, 0.239, 0.500)
Au (0.000, 0.357, 0.000)
Au (0.000, 0.500, 0.500)
Au (0.000, 0.643, 0.000)
Au (0.000, 0.761, 0.500)
Au (0.500, 0.000, 0.500)
Au (0.500, 0.143, 0.000)
Au (0.500, 0.261, 0.500)
Au (0.500, 0.739, 0.500)
Au (0.500, 0.857, 0.000)

Summary:
- space-group type = Cmmm
- total magnetization (μB/f.u.) = 0.00
- ΔE_f (eV/f.u.) = -1.4
- volume (Å³/cell) = 297.34

***

VASP calculation (GGA-PBE) on crystalline Ba3Au8 at its relaxed geometry.

Lattice parameters (Å, degrees): 14.915 14.915 14.915 163.03 161.64 25.10
Positions (direct):
Ba (0.000, 0.000, 0.000)
Ba (0.349, 0.849, 0.500)
Ba (0.651, 0.151, 0.500)
Au (0.098, 0.598, 0.500)
Au (0.193, 0.693, 0.500)
Au (0.254, 0.254, 0.000)
Au (0.452, 0.452, 0.000)
Au (0.548, 0.548, 0.000)
Au (0.746, 0.746, 0.000)
Au (0.807, 0.307, 0.500)
Au (0.902, 0.402, 0.500)

Summary:
- space-group type = Immm
- total magnetization (μB/f.u.) = 0.00
- ΔE_f (eV/f.u.) = -6.6
- volume (Å³/cell) = 304.84

***

VASP calculation (GGA-PBE) on crystalline BaAu6 at its relaxed geometry.

Lattice parameters (Å, degrees): 9.277 5.804 11.542 90.00 90.00 90.00
Positions (direct):
Ba (0.238, 0.250, 0.062)
Ba (0.262, 0.750, 0.562)
Ba (0.738, 0.250, 0.438)
Ba (0.762, 0.750, 0.938)
Au (0.062, 0.009, 0.307)
Au (0.062, 0.491, 0.307)
Au (0.069, 0.750, 0.092)
Au (0.102, 0.250, 0.518)
Au (0.152, 0.750, 0.859)
Au (0.183, 0.250, 0.761)
Au (0.317, 0.750, 0.261)
Au (0.348, 0.250, 0.359)
Au (0.398, 0.750, 0.018)
Au (0.431, 0.250, 0.592)
Au (0.438, 0.509, 0.807)
Au (0.438, 0.991, 0.807)
Au (0.562, 0.009, 0.193)
Au (0.562, 0.491, 0.193)
Au (0.569, 0.750, 0.408)
Au (0.602, 0.250, 0.982)
Au (0.652, 0.750, 0.641)
Au (0.683, 0.250, 0.739)
Au (0.817, 0.750, 0.239)
Au (0.848, 0.250, 0.141)
Au (0.898, 0.750, 0.482)
Au (0.931, 0.250, 0.908)
Au (0.938, 0.509, 0.693)
Au (0.938, 0.991, 0.693)

Summary:
- space-group type = Pnma
- total magnetization (μB/f.u.) = 0.00
- ΔE_f (eV/f.u.) = -2.4
- volume (Å³/cell) = 621.49

***

VASP calculation (GGA-PBE) on crystalline Ba6Au5 at its relaxed geometry.

Lattice parameters (Å, degrees): 9.886 9.886 9.886 146.55 131.51 60.19
Positions (direct):
Ba (0.076, 0.330, 0.746)
Ba (0.242, 0.000, 0.242)
Ba (0.416, 0.670, 0.746)
Ba (0.584, 0.330, 0.254)
Ba (0.758, 0.000, 0.758)
Ba (0.924, 0.670, 0.254)
Au (0.000, 0.500, 0.500)
Au (0.167, 0.167, 0.000)
Au (0.339, 0.839, 0.500)
Au (0.661, 0.161, 0.500)
Au (0.833, 0.833, 0.000)

Summary:
- space-group type = Immm
- total magnetization (μB/f.u.) = 0.00
- ΔE_f (eV/f.u.) = -7.0
- volume (Å³/cell) = 395.15